Record 1
# LiThScRu PBE optimized geometry
# Energy relative to the elements   -24 kJ per mole of atoms
# DOS at the Fermi energy   3.40 states/eV/f.u.
data_LiThScRu
_cell_length_a 6.895
_cell_length_b 6.895
_cell_length_c 6.895
_cell_angle_alpha 90.00
_cell_angle_beta 90.00
_cell_angle_gamma 90.00
_space_group_name_H-M_alt 'F -4 3 m'
_space_group_IT_number 216
_space_group_name_Hall 'F -4 2 3'
loop_
_atom_site_label
_atom_site_fract_x
_atom_site_fract_y
_atom_site_fract_z
Li1 0.000 0.000 0.000
Th1 0.250 0.250 0.750
Sc1 0.250 0.250 0.250
Ru1 0.000 0.000 0.500

Record 2
# Mn3CuSe PBE optimized geometry
# ΔE_f (raw)   68.3 kJ per mole of atoms
# DOS at the Fermi energy   1.75 states/eV/f.u.
# E above lowest polymorph   16 meV/atom
data_Mn3CuSe
_cell_length_a 4.526
_cell_length_b 4.526
_cell_length_c 4.526
_cell_angle_alpha 90.00
_cell_angle_beta 90.00
_cell_angle_gamma 90.00
_space_group_name_H-M_alt 'P m -3 m'
_space_group_IT_number 221
_space_group_name_Hall '-P 4 2 3'
loop_
_atom_site_label
_atom_site_fract_x
_atom_site_fract_y
_atom_site_fract_z
Mn1 0.000 0.000 0.500
Cu1 0.500 0.500 0.500
Se1 0.000 0.000 0.000